Here is Ca2RuWO6 after structural relaxation from Alexandria. Energies are from PBE with a Hubbard U.

Cell lengths 4.053, 5.614, 5.614 Å; angles 90.00, 90.00, 90.00 degrees
Site moments in Bohr magnetons follow the coordinates.
Positions (direct):
O  0.673  0.247  0.247  -0.03
O  0.673  0.753  0.753  -0.03
O  0.673  0.247  0.753  -0.03
O  0.673  0.753  0.247  -0.03
O  0.153  0.000  0.000  -0.01
O  0.160  0.500  0.500  -0.12
Ca  0.068  0.500  0.000  0.00
Ca  0.068  0.000  0.500  0.00
W  0.647  0.000  0.000  1.08
Ru  0.659  0.500  0.500  -0.82

Crystal system: tetragonal
Energy in eV/atom: -7.0168
Calculated volume in Å³ per cell: 128